# 1
Below is a relaxed structure of Th2P3Pd5, with properties calculated at the PBE level.

Lattice parameters (Å, degrees): 4.2169 22.2495 7.9379 90.00 90.00 90.00
With the nearest neighbours (Å) after each atom.
Space group Cmc2_1 (No. 36)
Symmetry-distinct sites (fractional):
Th  0.0000  0.0231  0.0000  6 Pd 2.99-3.23, 6 P 3.02-3.33
Th  0.0000  0.3213  0.0043  3 Pd 2.86-3.10, 4 P 2.95-3.01
P  0.0000  0.1024  0.3558  4 Pd 2.40-2.53
P  0.0000  0.2742  0.5444  4 Pd 2.33-2.47
P  0.0000  0.4553  0.2318  4 Pd 2.41-2.44
Pd  0.0000  0.0962  0.6744  3 P 2.44-2.53
Pd  0.0000  0.1782  0.1348  3 P 2.43-2.47
Pd  0.0000  0.2173  0.7936  1 P 2.35
Pd  0.0000  0.3700  0.4251  2 P 2.33-2.44
Pd  0.0000  0.4366  0.7598  3 P 2.40-2.41

Values from the calculation:
Energy of formation ... -0.903 eV per atom
Calculated density ... 9713 kg/m³
Size of the total moment ... 0.000 μB/atom

---

# 2
Below is a relaxed structure of ThP3Pd5, with properties calculated at the PBE level.

Lattice parameters (Å, degrees): 3.9392 12.9224 12.0391 90.00 90.00 90.00
With the nearest neighbours (Å) after each atom.
Space group Cmcm (No. 63)
Symmetry-distinct sites (fractional):
Th  0.0000  0.1233  0.2500  5 P 2.98-3.28
P  0.0000  0.1307  0.7500  6 Pd 2.37-2.47
P  0.0000  0.3996  0.5663  5 Pd 2.29-2.50
Pd  0.0000  0.0000  0.0000  4 P 2.49, 4 Pd 2.79
Pd  0.0000  0.2228  0.5796  2 P 2.29-2.37
Pd  0.0000  0.4191  0.1388  4 P 2.47-2.50, 1 Pd 2.68

Values from the calculation:
Energy of formation ... -0.666 eV per atom
Calculated density ... 9289 kg/m³
Size of the total moment ... 0.000 μB/atom

---

# 3
Below is a relaxed structure of ThPPd4, with properties calculated at the PBE level.

Lattice parameters (Å, degrees): 7.5393 4.0475 6.9311 90.00 90.00 90.00
With the nearest neighbours (Å) after each atom.
Space group Pmma (No. 51)
Symmetry-distinct sites (fractional):
Th  0.2500  0.0000  0.1252  1 P 2.87, 8 Pd 2.98-3.21
P  0.2500  0.0000  0.7107  6 Pd 2.38-2.59
Pd  0.0000  0.0000  0.5000  2 P 2.38
Pd  0.0560  0.5000  0.8080  2 P 2.59, 2 Pd 2.79-2.88
Pd  0.2500  0.5000  0.4404  2 P 2.76, 8 Pd 2.80-2.94, 2 Th 2.98

Values from the calculation:
Energy of formation ... -0.720 eV per atom
Calculated density ... 10814 kg/m³
Size of the total moment ... 0.000 μB/atom

---

# 4
Below is a relaxed structure of ThP2Pd4, with properties calculated at the PBE level.

Lattice parameters (Å, degrees): 7.7198 7.7198 3.9297 90.00 90.00 90.00
With the nearest neighbours (Å) after each atom.
Space group P4_2/mnm (No. 136)
Symmetry-distinct sites (fractional):
Th  0.0000  0.0000  0.0000  6 P 3.07-3.09, 8 Pd 3.30
P  0.2188  0.2188  0.5000  6 Pd 2.51
Pd  0.0855  0.6681  0.5000  3 P 2.51, 1 Pd 2.69

Values from the calculation:
Energy of formation ... -0.831 eV per atom
Calculated density ... 10206 kg/m³
Size of the total moment ... 0.000 μB/atom

---

# 5
Below is a relaxed structure of Th4P6Pd5, with properties calculated at the PBE level.

Lattice parameters (Å, degrees): 4.0817 19.2427 15.0279 90.00 90.00 90.00
With the nearest neighbours (Å) after each atom.
Space group Cmc2_1 (No. 36)
Symmetry-distinct sites (fractional):
Th  0.0000  0.0123  0.0000  7 P 2.97-3.26, 3 Pd 3.23-3.26
Th  0.0000  0.0348  0.2659  6 P 3.01-3.08, 5 Pd 3.03-3.14
Th  0.0000  0.1709  0.7977  6 P 2.90-2.98
Th  0.0000  0.1873  0.4454  6 P 2.87-2.96
P  0.0000  0.1156  0.6153  4 Pd 2.46-2.60
P  0.0000  0.2134  0.9887  4 Pd 2.41-2.55
P  0.0000  0.2271  0.2554  4 Pd 2.46-2.52
P  0.0000  0.4194  0.9075  1 Pd 2.45
P  0.0000  0.4319  0.6246  4 Pd 2.51-2.72
P  0.0000  0.4353  0.3451  2 Pd 2.42-2.66
Pd  0.0000  0.1483  0.1259  4 P 2.41-2.56
Pd  0.0000  0.3008  0.1165  4 P 2.52-2.60
Pd  0.0000  0.3417  0.7779  3 P 2.45-2.46
Pd  0.0000  0.3573  0.4711  3 P 2.42-2.47
Pd  0.0000  0.4422  0.1681  4 P 2.46-2.66

Values from the calculation:
Energy of formation ... -1.065 eV per atom
Calculated density ... 9263 kg/m³
Size of the total moment ... 0.000 μB/atom

---

# 6
Below is a relaxed structure of ThP2Pd5, with properties calculated at the PBE level.

Lattice parameters (Å, degrees): 4.1211 7.0300 9.3652 90.00 90.00 90.00
With the nearest neighbours (Å) after each atom.
Space group Immm (No. 71)
Symmetry-distinct sites (fractional):
Th  0.0000  0.0000  0.0000  4 P 3.12, 8 Pd 3.28
P  0.0000  0.5000  0.2497  3 Pd 2.30-2.34
Pd  0.0000  0.1993  0.3478  1 P 2.30
Pd  0.0000  0.5000  0.0000  2 P 2.34

Values from the calculation:
Energy of formation ... -0.735 eV per atom
Calculated density ... 10111 kg/m³
Size of the total moment ... 0.000 μB/atom

---

# 7
Below is a relaxed structure of Th2P3Pd3, with properties calculated at the PBE level.

Lattice parameters (Å, degrees): 7.0160 7.0160 8.0036 90.00 90.00 120.00
With the nearest neighbours (Å) after each atom.
Space group P6_3/mcm (No. 193)
Symmetry-distinct sites (fractional):
Th  0.3333  0.6667  0.0000  6 P 2.95
P  0.0000  0.3903  0.2500  3 Pd 2.40-2.52
Pd  0.0000  0.2507  0.7500  3 P 2.40-2.52

Values from the calculation:
Energy of formation ... -0.961 eV per atom
Calculated density ... 8529 kg/m³
Size of the total moment ... 0.000 μB/atom

---

# 8
Below is a relaxed structure of Th2P7Pd12, with properties calculated at the PBE level.

Lattice parameters (Å, degrees): 9.7693 9.7693 4.1086 90.00 90.00 120.00
With the nearest neighbours (Å) after each atom.
Space group P-3 (No. 147)
Symmetry-distinct sites (fractional):
Th  0.3333  0.6667  0.2508  6 P 3.11-3.13, 9 Pd 3.20-3.46
P  0.0000  0.0000  0.0000  6 Pd 2.38
P  0.1150  0.4084  0.7477  6 Pd 2.39-2.62
Pd  0.0614  0.6220  0.7537  4 P 2.39-2.61
Pd  0.1068  0.8570  0.2646  3 P 2.38-2.62

Values from the calculation:
Energy of formation ... -0.695 eV per atom
Calculated density ... 9574 kg/m³
Size of the total moment ... 0.000 μB/atom

---

# 9
Below is a relaxed structure of ThP2Pd, with properties calculated at the PBE level.

Lattice parameters (Å, degrees): 4.0488 4.0488 9.7382 90.00 90.00 90.00
With the nearest neighbours (Å) after each atom.
Space group I-4m2 (No. 119)
Symmetry-distinct sites (fractional):
Th  0.0000  0.0000  0.0000  8 P 3.07, 4 Pd 3.17
P  0.0000  0.0000  0.3851  1 P 2.24, 2 Pd 2.41
Pd  0.0000  0.5000  0.7500  4 P 2.41

Values from the calculation:
Energy of formation ... -1.050 eV per atom
Calculated density ... 8330 kg/m³
Size of the total moment ... 0.000 μB/atom

---

# 10
Below is a relaxed structure of Th2P4Pd3, with properties calculated at the PBE level.

Lattice parameters (Å, degrees): 5.7517 15.1726 7.4634 90.00 90.00 90.00
With the nearest neighbours (Å) after each atom.
Space group Cmce (No. 64)
Symmetry-distinct sites (fractional):
Th  0.0000  0.1180  0.0814  8 P 2.96-3.09, 4 Pd 3.15-3.30
P  0.0000  0.1906  0.4495  5 Pd 2.61-2.92
P  0.2500  0.0419  0.7500  3 Pd 2.44-2.47
Pd  0.0000  0.0000  0.5000  4 P 2.44
Pd  0.2500  0.2049  0.7500  5 P 2.47-2.67

Values from the calculation:
Energy of formation ... -0.910 eV per atom
Calculated density ... 9252 kg/m³
Size of the total moment ... 0.000 μB/atom

---

# 11
Below is a relaxed structure of ThP3Pd3, with properties calculated at the PBE level.

Lattice parameters (Å, degrees): 6.5077 6.5077 6.5077 90.00 90.00 90.00
With the nearest neighbours (Å) after each atom.
Space group Pm-3n (No. 223)
Symmetry-distinct sites (fractional):
Th  0.0000  0.0000  0.0000  12 Pd 3.64, 12 P 3.64
P  0.0000  0.2500  0.5000  4 Pd 2.30
Pd  0.0000  0.5000  0.2500  4 P 2.30

Values from the calculation:
Energy of formation ... -0.445 eV per atom
Calculated density ... 7763 kg/m³
Size of the total moment ... 0.000 μB/atom

---

# 12
Below is a relaxed structure of ThP4Pd12, with properties calculated at the PBE level.

Lattice parameters (Å, degrees): 8.3807 8.3807 8.3807 90.00 90.00 90.00
With the nearest neighbours (Å) after each atom.
Space group Im-3 (No. 204)
Symmetry-distinct sites (fractional):
Th  0.0000  0.0000  0.0000  12 Pd 3.15
P  0.2500  0.2500  0.2500  6 Pd 2.31
Pd  0.0000  0.1705  0.3352  2 P 2.31

Values from the calculation:
Energy of formation ... -0.443 eV per atom
Calculated density ... 9213 kg/m³
Size of the total moment ... 0.000 μB/atom

---

# 13
Below is a relaxed structure of ThPPd2, with properties calculated at the PBE level.

Lattice parameters (Å, degrees): 4.9648 4.9648 11.0058 90.00 90.00 120.00
With the nearest neighbours (Å) after each atom.
Space group R-3m (No. 166, hexagonal axes)
Symmetry-distinct sites (fractional):
Th  0.0000  0.0000  0.0000  8 Pd 2.94-3.02
P  0.0000  0.0000  0.5000  2 Pd 2.48
Pd  0.0000  0.0000  0.2745  1 P 2.48

Values from the calculation:
Energy of formation ... -0.606 eV per atom
Calculated density ... 10090 kg/m³
Size of the total moment ... 0.000 μB/atom

---

# 14
Below is a relaxed structure of ThP2Pd3, with properties calculated at the PBE level.

Lattice parameters (Å, degrees): 16.2690 4.0389 9.9254 90.00 107.68 90.00
With the nearest neighbours (Å) after each atom.
Space group C2/m (No. 12)
Symmetry-distinct sites (fractional):
Th  0.0000  0.0000  0.0000  6 P 3.04-3.09, 6 Pd 3.18-3.23
Th  0.1528  0.0000  0.7025  8 Pd 3.10-3.36, 6 P 3.11-3.21
P  0.0355  0.5000  0.7955  3 Pd 2.42-2.53
P  0.1337  0.5000  0.4532  5 Pd 2.31-2.57
P  0.1982  0.0000  0.1285  6 Pd 2.47-2.54
Pd  0.0000  0.5000  0.5000  2 P 2.36
Pd  0.0433  0.0000  0.3342  4 P 2.53-2.57, 2 Pd 2.83
Pd  0.1329  0.5000  0.2129  3 P 2.38-2.54
Pd  0.1780  0.5000  0.9663  4 P 2.42-2.54
Pd  0.2273  0.0000  0.3926  2 P 2.31-2.52

Values from the calculation:
Energy of formation ... -0.893 eV per atom
Calculated density ... 9832 kg/m³
Size of the total moment ... 0.000 μB/atom

---

# 15
Below is a relaxed structure of ThP2Pd, with properties calculated at the PBE level.

Lattice parameters (Å, degrees): 4.5379 4.5379 20.0333 90.00 90.00 120.00
With the nearest neighbours (Å) after each atom.
Space group R-3m (No. 166, hexagonal axes)
Symmetry-distinct sites (fractional):
Th  0.0000  0.0000  0.0000  6 P 2.84
P  0.0000  0.0000  0.3882  1 Pd 2.24
Pd  0.0000  0.0000  0.5000  2 P 2.24

Values from the calculation:
Energy of formation ... -0.246 eV per atom
Calculated density ... 5583 kg/m³
Size of the total moment ... 0.000 μB/atom

---

# 16
Below is a relaxed structure of TiPPd3, with properties calculated at the PBE level.

Lattice parameters (Å, degrees): 4.4682 4.4682 4.4682 90.00 90.00 90.00
With the nearest neighbours (Å) after each atom.
Space group Pm-3m (No. 221)
Symmetry-distinct sites (fractional):
Ti  0.0000  0.0000  0.0000  12 Pd 3.16
P  0.5000  0.5000  0.5000  6 Pd 2.23
Pd  0.0000  0.5000  0.5000  2 P 2.23

Values from the calculation:
Energy of formation ... -0.059 eV per atom
Calculated density ... 7410 kg/m³
Size of the total moment ... 0.000 μB/atom
Energy relative to the lowest polymorph listed for this composition ... 0.00 eV per formula unit

---

# 17
Below is a relaxed structure of Ti4PPd2, with properties calculated at the PBE level.

Lattice parameters (Å, degrees): 4.4827 4.4827 12.7756 90.00 90.00 90.00
With the nearest neighbours (Å) after each atom.
Space group I4/mmm (No. 139)
Symmetry-distinct sites (fractional):
Ti  0.0000  0.0000  0.1860  1 P 2.38, 1 Pd 2.40
Ti  0.0000  0.5000  0.0000  2 P 2.24
P  0.0000  0.0000  0.0000  6 Ti 2.24-2.38
Pd  0.0000  0.0000  0.3735  1 Ti 2.40

Values from the calculation:
Energy of formation ... -0.255 eV per atom
Calculated density ... 5631 kg/m³
Size of the total moment ... 0.000 μB/atom

---

# 18
Below is a relaxed structure of Ti2PPd2, with properties calculated at the PBE level.

Lattice parameters (Å, degrees): 6.4091 6.4091 4.0105 90.00 90.00 90.00
With the nearest neighbours (Å) after each atom.
Space group P4/mbm (No. 127)
Symmetry-distinct sites (fractional):
Ti  0.1557  0.3443  0.0000  2 P 2.42, 2 Pd 2.69
P  0.0000  0.0000  0.0000  4 Ti 2.42
Pd  0.1459  0.6459  0.5000  1 Pd 2.64, 6 Ti 2.69-2.79

Values from the calculation:
Energy of formation ... -0.418 eV per atom
Calculated density ... 6845 kg/m³
Size of the total moment ... 0.000 μB/atom
Energy relative to the lowest polymorph listed for this composition ... 0.00 eV per formula unit

---

# 19
Below is a relaxed structure of TiPPd3, with properties calculated at the PBE level.

Lattice parameters (Å, degrees): 4.6328 4.6328 4.6328 90.00 90.00 90.00
With the nearest neighbours (Å) after each atom.
Space group Pm-3m (No. 221)
Symmetry-distinct sites (fractional):
Ti  0.0000  0.0000  0.0000  6 Pd 2.32
P  0.5000  0.5000  0.5000  12 Pd 3.28
Pd  0.0000  0.0000  0.5000  2 Ti 2.32

Values from the calculation:
Energy of formation ... 0.762 eV per atom
Calculated density ... 6648 kg/m³
Size of the total moment ... 0.000 μB/atom
Energy relative to the lowest polymorph listed for this composition ... 4.10 eV per formula unit